Computed, not measured: an optimized crystal structure of SrYGa2 at the PBE level of DFT.

Cell lengths 3.7275, 3.7275, 7.4930 Å; angles 90.00, 90.00, 90.00 degrees
Closest atoms and distances in Å follow each position.
Space group P4/mmm (No. 123)
Inequivalent atoms, fractional coordinates:
Sr  0.0000  0.0000  0.0000 x1  8 Ga 3.38, 4 Sr 3.73, 2 Y 3.75
Y  0.0000  0.0000  0.5000 x1  8 Ga 3.10
Ga  0.5000  0.5000  0.2833 x2  4 Y 3.10, 1 Ga 3.25, 4 Sr 3.38

Properties
As for the total energy: -0.29650 Ry per atom. The calculation puts the density of states at the Fermi level at 0.399 states/eV/atom.